An optimized crystal structure of BaPm3Ge3, computed with GGA-PBE.

a b c (Å): 8.0725 8.0725 8.0725
angles (deg): 70.92 70.92 70.92
Closest atoms and distances in Å follow each position.
Positions (direct):
Ba 0.1665 0.1665 0.1665  6 Ge 3.35-3.42, 6 Pm 3.66-3.75
Ba 0.8335 0.8335 0.8335  6 Ge 3.35-3.42, 6 Pm 3.66-3.75
Pm 0.1198 0.4021 0.7059  4 Ge 2.96-3.09
Pm 0.2941 0.8802 0.5979  4 Ge 2.96-3.09
Pm 0.4021 0.7059 0.1198  4 Ge 2.96-3.09
Pm 0.5979 0.2941 0.8802  4 Ge 2.96-3.09
Pm 0.7059 0.1198 0.4021  4 Ge 2.96-3.09
Pm 0.8802 0.5979 0.2941  4 Ge 2.96-3.09
Ge 0.0745 0.7618 0.4271  4 Pm 2.96-3.09
Ge 0.2382 0.5729 0.9255  4 Pm 2.96-3.09
Ge 0.4271 0.0745 0.7618  4 Pm 2.96-3.09
Ge 0.5729 0.9255 0.2382  4 Pm 2.96-3.09
Ge 0.7618 0.4271 0.0745  4 Pm 2.96-3.09
Ge 0.9255 0.2382 0.5729  4 Pm 2.96-3.09

Results
* symmetry: R-3
* ΔE_f: -0.528 eV/atom


An optimized crystal structure of Ce2HoCu, computed with GGA-PBE.

a b c (Å): 3.6119 3.6119 8.0235
angles (deg): 90.00 90.00 90.00
Closest atoms and distances in Å follow each position.
Positions (direct):
Ce 0.0000 0.0000 0.1936  4 Cu 2.99, 1 Ce 3.11
Ce 0.0000 0.0000 0.8064  4 Cu 2.99, 1 Ce 3.11
Ho 0.5000 0.5000 0.5000  8 Ce 3.55, 4 Ho 3.61
Cu 0.5000 0.5000 0.0000  8 Ce 2.99

Results
* symmetry: P4/mmm
* ΔE_f: 0.058 eV/atom
* offset from the most stable computed form: 0.000 eV/atom


An optimized crystal structure of KAc2Pb, computed with GGA-PBE.

a b c (Å): 4.0817 4.0817 40.1318
angles (deg): 90.00 90.00 120.00
Closest atoms and distances in Å follow each position.
Positions (direct):
K 0.0000 0.0000 0.0000  6 K 4.08, 2 Ac 4.17
K 0.3333 0.6667 0.6667  6 K 4.08, 2 Ac 4.17
K 0.6667 0.3333 0.3333  6 K 4.08, 2 Ac 4.17
Ac 0.0000 0.0000 0.1040  3 Pb 3.45
Ac 0.0000 0.0000 0.8960  3 Pb 3.45
Ac 0.3333 0.6667 0.5627  3 Pb 3.45
Ac 0.3333 0.6667 0.7706  3 Pb 3.45
Ac 0.6667 0.3333 0.2294  3 Pb 3.45
Ac 0.6667 0.3333 0.4373  3 Pb 3.45
Pb 0.0000 0.0000 0.5000  6 Ac 3.45
Pb 0.3333 0.6667 0.1667  6 Ac 3.45
Pb 0.6667 0.3333 0.8333  6 Ac 3.45

Results
* symmetry: R-3m
* ΔE_f: 0.038 eV/atom


An optimized crystal structure of Sm2Dy2Ge3, computed with GGA-PBE.

a b c (Å): 4.1820 6.9488 7.6726
angles (deg): 78.84 89.97 72.53
Closest atoms and distances in Å follow each position.
Positions (direct):
Sm 0.1337 0.2334 0.3567  4 Ge 2.93-2.94
Sm 0.8663 0.7666 0.6433  4 Ge 2.93-2.94
Dy 0.3686 0.7625 0.0981  5 Ge 2.91-2.99
Dy 0.6314 0.2375 0.9019  5 Ge 2.91-2.99
Ge 0.0000 0.5000 0.0000  4 Dy 2.91-2.92, 2 Sm 2.94
Ge 0.2320 0.0358 0.7367  3 Dy 2.91-2.99, 3 Sm 2.93-2.94
Ge 0.7680 0.9642 0.2633  3 Dy 2.91-2.99, 3 Sm 2.93-2.94

Results
* symmetry: P-1
* ΔE_f: -0.604 eV/atom